Record 1
DFT (PBE-GGA) results for ZnAgSe after structural relaxation.

As for the formation energy (no corrections): 0.124 eV/atom. The value obtained for the theoretical density is 7.1 g/cm³. Its total magnetic moment is 0.0 μB/cell. The value obtained for the offset from the most stable computed form is 171 meV/atom. The calculation puts the total DFT energy (no corrections) at -2.41 eV per atom.

It has space group P3m1 (No. 156), with a = 4.8912 Å, b = 4.8912 Å, c = 2.8372 Å, α = 90.00°, β = 90.00° and γ = 120.00°. The distinct sites, in fractional coordinates, are Zn at (0.0000, 0.0000, 0.0000), Ag at (0.3333, 0.6667, 0.9982) and Se at (0.6667, 0.3333, 0.0012).

Record 2
DFT (PBE-GGA) results for Zn2AgSe after structural relaxation.

As for the formation energy (no corrections): 0.000 eV/atom. The value obtained for the theoretical density is 6.6 g/cm³. Its total magnetic moment is 0.0 μB/cell. The calculation puts the total DFT energy (no corrections) at -2.22 eV per atom.

It has space group R3m (No. 160, hexagonal axes), with a = 3.8869 Å, b = 3.8869 Å, c = 18.2103 Å, α = 90.00°, β = 90.00° and γ = 120.00°. The distinct sites, in fractional coordinates, are Zn at (0.0000, 0.0000, 0.0000), Zn at (0.0000, 0.0000, 0.2488), Ag at (0.0000, 0.0000, 0.5020) and Se at (0.0000, 0.0000, 0.7363).

Record 3
DFT (PBE-GGA) results for ZnAg2Se after structural relaxation.

As for the formation energy (no corrections): 0.041 eV/atom. The value obtained for the theoretical density is 8.1 g/cm³. Its total magnetic moment is 0.0 μB/cell. The value obtained for the offset from the most stable computed form is 50 meV/atom. The calculation puts the total DFT energy (no corrections) at -2.57 eV per atom.

It has space group P4/mmm (No. 123), with a = 3.589 Å, b = 3.589 Å, c = 5.704 Å, α = 90.00°, β = 90.00° and γ = 90.00°. The distinct sites, in fractional coordinates, are Zn at (0.000, 0.000, 0.000), Ag at (0.500, 0.500, 0.240) and Se at (0.000, 0.000, 0.500).

Record 4
DFT (PBE-GGA) results for ZnAgSe2 after structural relaxation.

As for the formation energy (no corrections): -0.035 eV/atom. The value obtained for the theoretical density is 6.5 g/cm³. Its total magnetic moment is 0.0 μB/cell. The calculation puts the total DFT energy (no corrections) at -2.81 eV per atom.

It has space group C2/m (No. 12), with a = 5.965 Å, b = 7.566 Å, c = 4.346 Å, α = 90.00°, β = 120.66° and γ = 90.00°. The distinct sites, in fractional coordinates, are Zn at (0.000, 0.000, 0.000), Ag at (0.000, 0.500, 0.000) and Se at (0.250, 0.250, 0.500).

Record 5
DFT (PBE-GGA) results for ZnAgSe2 after structural relaxation.

As for the formation energy (no corrections): 0.118 eV/atom. The value obtained for the theoretical density is 6.9 g/cm³. Its total magnetic moment is 0.0 μB/cell. The calculation puts the total DFT energy (no corrections) at -2.66 eV per atom.

It has space group P4/mmm (No. 123), with a = 3.727 Å, b = 3.727 Å, c = 5.723 Å, α = 90.00°, β = 90.00° and γ = 90.00°. The distinct sites, in fractional coordinates, are Zn at (0.000, 0.000, 0.000), Ag at (0.000, 0.000, 0.500) and Se at (0.500, 0.500, 0.244).

Record 6
DFT (PBE-GGA) results for ZnAgSe2 after structural relaxation.

As for the formation energy (no corrections): -0.202 eV/atom. The value obtained for the theoretical density is 5.7 g/cm³. Its total magnetic moment is 0.0 μB/cell. The calculation puts the total DFT energy (no corrections) at -2.98 eV per atom.

It has space group Pm (No. 6), with a = 3.535 Å, b = 3.949 Å, c = 6.901 Å, α = 90.00°, β = 95.12° and γ = 90.00°. The distinct sites, in fractional coordinates, are Zn at (0.000, 0.000, 0.000), Ag at (0.765, 0.500, 0.423), Se at (0.250, 0.000, 0.338) and Se at (0.772, 0.500, 0.826).

Record 7
DFT (PBE-GGA) results for Zn2AgSe after structural relaxation.

As for the formation energy (no corrections): 0.132 eV/atom. The value obtained for the theoretical density is 7.3 g/cm³. Its total magnetic moment is 0.0 μB/cell. The calculation puts the total DFT energy (no corrections) at -2.09 eV per atom.

It has space group P4mm (No. 99), with a = 2.871 Å, b = 2.871 Å, c = 8.801 Å, α = 90.00°, β = 90.00° and γ = 90.00°. The distinct sites, in fractional coordinates, are Zn at (0.000, 0.000, 0.000), Zn at (0.500, 0.500, 0.211), Ag at (0.000, 0.000, 0.432) and Se at (0.500, 0.500, 0.721).

Record 8
DFT (PBE-GGA) results for ZnAgSe2 after structural relaxation.

As for the formation energy (no corrections): -0.219 eV/atom. The value obtained for the theoretical density is 6.4 g/cm³. Its total magnetic moment is 0.0 μB/cell. The calculation puts the total DFT energy (no corrections) at -2.99 eV per atom.

It has space group C2/m (No. 12), with a = 6.968 Å, b = 3.900 Å, c = 6.934 Å, α = 90.00°, β = 113.45° and γ = 90.00°. The distinct sites, in fractional coordinates, are Zn at (0.000, 0.000, 0.000), Ag at (0.000, 0.500, 0.500) and Se at (0.188, 0.000, 0.770).

Record 9
DFT (PBE-GGA) results for ZnAg4Se after structural relaxation.

As for the formation energy (no corrections): 0.226 eV/atom. The value obtained for the theoretical density is 8.1 g/cm³. Its total magnetic moment is 0.0 μB/cell. The calculation puts the total DFT energy (no corrections) at -2.47 eV per atom.

It has space group F-43m (No. 216), with a = 7.801 Å, b = 7.801 Å, c = 7.801 Å, α = 90.00°, β = 90.00° and γ = 90.00°. The distinct sites, in fractional coordinates, are Zn at (0.000, 0.000, 0.000), Ag at (0.126, 0.126, 0.626) and Se at (0.250, 0.250, 0.250).

Record 10
DFT (PBE-GGA) results for ZnAg2Se after structural relaxation.

As for the formation energy (no corrections): 0.039 eV/atom. The value obtained for the theoretical density is 7.8 g/cm³. Its total magnetic moment is 0.0 μB/cell. The value obtained for the offset from the most stable computed form is 48 meV/atom. The calculation puts the total DFT energy (no corrections) at -2.58 eV per atom.

It has space group C2/m (No. 12), with a = 8.337 Å, b = 3.285 Å, c = 5.673 Å, α = 90.00°, β = 100.90° and γ = 90.00°. The distinct sites, in fractional coordinates, are Zn at (0.000, 0.000, 0.000), Ag at (0.246, 0.500, 0.220) and Se at (0.000, 0.500, 0.500).

Record 11
DFT (PBE-GGA) results for Zn3AgSe after structural relaxation.

As for the formation energy (no corrections): 0.395 eV/atom. The value obtained for the theoretical density is 5.4 g/cm³. Its total magnetic moment is 0.0 μB/cell. The value obtained for the offset from the most stable computed form is 0 meV/atom. The calculation puts the total DFT energy (no corrections) at -1.64 eV per atom.

It has space group Pm-3m (No. 221), with a = 4.893 Å, b = 4.893 Å, c = 4.893 Å, α = 90.00°, β = 90.00° and γ = 90.00°. The distinct sites, in fractional coordinates, are Zn at (0.000, 0.000, 0.500), Ag at (0.000, 0.000, 0.000) and Se at (0.500, 0.500, 0.500).

Record 12
DFT (PBE-GGA) results for ZnAgSe after structural relaxation.

As for the formation energy (no corrections): 0.123 eV/atom. The value obtained for the theoretical density is 7.3 g/cm³. Its total magnetic moment is 0.0 μB/cell. The value obtained for the offset from the most stable computed form is 170 meV/atom. The calculation puts the total DFT energy (no corrections) at -2.41 eV per atom.

It has space group Fmm2 (No. 42), with a = 3.636 Å, b = 5.022 Å, c = 12.626 Å, α = 90.00°, β = 90.00° and γ = 90.00°. The distinct sites, in fractional coordinates, are Zn at (0.000, 0.000, 0.000), Ag at (0.000, 0.000, 0.652) and Se at (0.000, 0.000, 0.354).

Which of these has the lowest theoretical density? Zn3AgSe